First-principles (GGA-PBE) data for a relaxed structure of AcSmDy5Ho2, as listed in the Alexandria database.

Lattice parameters (Å, degrees): 8.9954 8.9954 9.8587 117.14 117.14 90.00
Fractional coordinates of all 18 atoms:
Ac: 0.2500 0.2500 0.5000
Ac: 0.7500 0.7500 0.5000
Sm: 0.2500 0.7500 0.5000
Sm: 0.7500 0.2500 0.5000
Dy: 0.9248 0.4248 0.2512
Dy: 0.6737 0.1737 0.7488
Dy: 0.0752 0.5752 0.7488
Dy: 0.1737 0.0752 0.7488
Dy: 0.5752 0.6737 0.7488
Dy: 0.8263 0.9248 0.2512
Dy: 0.4248 0.3263 0.2512
Dy: 0.3263 0.8263 0.2512
Dy: 0.5000 0.5000 0.0000
Dy: 0.0000 0.0000 0.0000
Ho: 0.1132 0.3868 0.0000
Ho: 0.6132 0.1132 0.0000
Ho: 0.3868 0.8868 0.0000
Ho: 0.8868 0.6132 0.0000

Values from the calculation:
* SG: I4/mcm

First-principles (GGA-PBE) data for a relaxed structure of AcSmDyHo, as listed in the Alexandria database.

Lattice parameters (Å, degrees): 5.8465 5.8465 5.8465 60.00 60.00 60.00
Fractional coordinates of all 4 atoms:
Ac: 0.5000 0.5000 0.5000
Ho: 0.2500 0.2500 0.2500
Sm: 0.0000 0.0000 0.0000
Dy: 0.7500 0.7500 0.7500

Values from the calculation:
* distance to the lowest polymorph of the same formula: 0.0 meV/atom
* SG: F-43m

First-principles (GGA-PBE) data for a relaxed structure of AcSm3Dy6Ho2, as listed in the Alexandria database.

Lattice parameters (Å, degrees): 6.2300 6.2300 11.9063 94.99 94.99 119.98
Fractional coordinates of all 12 atoms:
Ac: 0.0000 0.0000 0.0000
Sm: 0.1671 0.8329 0.5000
Sm: 0.8329 0.1671 0.5000
Sm: 0.5000 0.5000 0.5000
Dy: 0.9158 0.5794 0.7480
Dy: 0.7478 0.7478 0.2522
Dy: 0.0842 0.4206 0.2520
Dy: 0.5794 0.9158 0.7480
Dy: 0.2522 0.2522 0.7478
Dy: 0.4206 0.0842 0.2520
Ho: 0.3333 0.6667 0.0000
Ho: 0.6667 0.3333 0.0000

Values from the calculation:
* SG: C2/m

First-principles (GGA-PBE) data for a relaxed structure of AcSmDy6Ho2, as listed in the Alexandria database.

Lattice parameters (Å, degrees): 9.5438 8.9088 8.9088 117.54 92.63 92.63
Fractional coordinates of all 20 atoms:
Ac: 0.2500 0.9682 0.0318
Ac: 0.7500 0.0318 0.9682
Sm: 0.2500 0.4110 0.5890
Sm: 0.7500 0.5890 0.4110
Dy: 0.0576 0.1249 0.7508
Dy: 0.4424 0.2492 0.8751
Dy: 0.9424 0.8751 0.2492
Dy: 0.5576 0.7508 0.1249
Dy: 0.3209 0.9831 0.4445
Dy: 0.1791 0.5555 0.0169
Dy: 0.6791 0.0169 0.5555
Dy: 0.8209 0.4445 0.9831
Dy: 0.1162 0.7107 0.4883
Dy: 0.3838 0.5117 0.2893
Dy: 0.8838 0.2893 0.5117
Dy: 0.6162 0.4883 0.7107
Ho: 0.4509 0.7998 0.6872
Ho: 0.0491 0.3128 0.2002
Ho: 0.5491 0.2002 0.3128
Ho: 0.9509 0.6872 0.7998

Values from the calculation:
* SG: C2/c

Summary of energy of formation from the pure elements in eV/atom
0.277; 0.122; 0.028; 0.131
(order as listed above)
Summary of DOS at the Fermi energy in states/eV/f.u.
12.44; 7.33; 14.95; 15.15
(order as listed above)
Summary of V in Å³ per cell
609.5; 141.3; 394.2; 669.0
(order as listed above)